Entry 1:
{
  "formula": "Ac2MgZn6Cu",
  "functional": "GGA-PBE",
  "state": "relaxed",
  "lattice": [[7.014, 0.007, 0.329], [-0.005, 6.556, 0.006], [3.739, 3.301, 4.983]],
  "species": ["Ac", "Mg", "Zn", "Cu", "Zn", "Zn", "Zn", "Ac", "Zn", "Zn"],
  "fractional_positions": [[0.708, 0.294, 0.413], [0.000, 0.000, 0.000], [0.256, 0.741, 0.111], [0.500, 0.500, 0.000], [0.254, 0.149, 0.112], [0.744, 0.259, 0.889], [0.847, 0.744, 0.514], [0.292, 0.706, 0.587], [0.746, 0.851, 0.888], [0.153, 0.256, 0.486]],
  "formation_enthalpy_0k_ev_per_atom": -0.169,
  "total_magnetization_mub_per_cell": 0.00,
  "energy_ev_per_cell": -23.242,
  "mass_density_g_cm3": 7.02
}

=====

Entry 2:
{
  "formula": "AcMgZn2Cu2",
  "functional": "GGA-PBE",
  "state": "relaxed",
  "lattice": [[4.411, 0.000, 0.000], [-2.206, 3.820, 0.000], [0.000, 0.000, 7.108]],
  "species": ["Cu", "Mg", "Ac", "Zn", "Zn", "Cu"],
  "fractional_positions": [[0.333, 0.667, 0.688], [0.000, 0.000, 0.500], [0.000, 0.000, 0.000], [0.333, 0.667, 0.314], [0.667, 0.333, 0.686], [0.667, 0.333, 0.312]],
  "formation_enthalpy_0k_ev_per_atom": -0.215,
  "total_magnetization_mub_per_cell": 0.00,
  "energy_ev_per_cell": -17.733,
  "mass_density_g_cm3": 7.06
}

=====

Entry 3:
{
  "formula": "Ac2MgZn3Cu12",
  "functional": "GGA-PBE",
  "state": "relaxed",
  "lattice": [[7.775, -0.231, -0.164], [3.639, 6.875, -0.164], [3.639, 2.118, 6.543]],
  "species": ["Zn", "Cu", "Cu", "Cu", "Zn", "Cu", "Zn", "Cu", "Ac", "Cu", "Cu", "Mg", "Cu", "Ac", "Cu", "Cu", "Cu", "Cu"],
  "fractional_positions": [[0.500, 0.000, 0.000], [0.652, 0.652, 0.973], [0.135, 0.641, 0.135], [0.973, 0.652, 0.652], [0.000, 0.500, 0.000], [0.865, 0.865, 0.359], [0.000, 0.000, 0.500], [0.348, 0.348, 0.027], [0.601, 0.601, 0.601], [0.641, 0.135, 0.135], [0.652, 0.973, 0.652], [0.000, 0.000, 0.000], [0.027, 0.348, 0.348], [0.399, 0.399, 0.399], [0.865, 0.359, 0.865], [0.348, 0.027, 0.348], [0.359, 0.865, 0.865], [0.135, 0.135, 0.641]],
  "formation_enthalpy_0k_ev_per_atom": 0.250,
  "total_magnetization_mub_per_cell": 0.00,
  "energy_ev_per_cell": -58.292,
  "mass_density_g_cm3": 6.61
}

=====

Entry 4:
{
  "formula": "AcMg2Zn2Cu",
  "functional": "GGA-PBE",
  "state": "relaxed",
  "lattice": [[5.007, 0.000, 0.000], [0.000, 5.007, 0.000], [-2.504, -2.504, 5.866]],
  "species": ["Mg", "Mg", "Zn", "Zn", "Cu", "Ac"],
  "fractional_positions": [[0.250, 0.750, 0.500], [0.750, 0.250, 0.500], [0.803, 0.803, 0.606], [0.197, 0.197, 0.394], [0.000, 0.000, 0.000], [0.500, 0.500, 0.000]],
  "formation_enthalpy_0k_ev_per_atom": 0.083,
  "total_magnetization_mub_per_cell": 0.00,
  "energy_ev_per_cell": -13.442,
  "mass_density_g_cm3": 5.31
}

=====

What did the first record say?
{
  "formula": "Ac2MgZn6Cu",
  "functional": "GGA-PBE",
  "state": "relaxed",
  "lattice": [[7.014, 0.007, 0.329], [-0.005, 6.556, 0.006], [3.739, 3.301, 4.983]],
  "species": ["Ac", "Mg", "Zn", "Cu", "Zn", "Zn", "Zn", "Ac", "Zn", "Zn"],
  "fractional_positions": [[0.708, 0.294, 0.413], [0.000, 0.000, 0.000], [0.256, 0.741, 0.111], [0.500, 0.500, 0.000], [0.254, 0.149, 0.112], [0.744, 0.259, 0.889], [0.847, 0.744, 0.514], [0.292, 0.706, 0.587], [0.746, 0.851, 0.888], [0.153, 0.256, 0.486]],
  "formation_enthalpy_0k_ev_per_atom": -0.169,
  "total_magnetization_mub_per_cell": 0.00,
  "energy_ev_per_cell": -23.242,
  "mass_density_g_cm3": 7.02
}

=====

Repeat the first record exactly.
{
  "formula": "Ac2MgZn6Cu",
  "functional": "GGA-PBE",
  "state": "relaxed",
  "lattice": [[7.014, 0.007, 0.329], [-0.005, 6.556, 0.006], [3.739, 3.301, 4.983]],
  "species": ["Ac", "Mg", "Zn", "Cu", "Zn", "Zn", "Zn", "Ac", "Zn", "Zn"],
  "fractional_positions": [[0.708, 0.294, 0.413], [0.000, 0.000, 0.000], [0.256, 0.741, 0.111], [0.500, 0.500, 0.000], [0.254, 0.149, 0.112], [0.744, 0.259, 0.889], [0.847, 0.744, 0.514], [0.292, 0.706, 0.587], [0.746, 0.851, 0.888], [0.153, 0.256, 0.486]],
  "formation_enthalpy_0k_ev_per_atom": -0.169,
  "total_magnetization_mub_per_cell": 0.00,
  "energy_ev_per_cell": -23.242,
  "mass_density_g_cm3": 7.02
}